Computed, not measured: an optimized crystal structure of Li4Mg5Tl at the GGA-PBE level of DFT.

```
Li4Mg5Tl
1.0
7.251 -2.361 0.000
7.251 2.361 0.000
-0.044 0.000 6.603
Li Mg Tl
4 5 1
Direct
0.010 0.010 0.242
0.345 0.345 0.758
0.655 0.655 0.242
0.990 0.990 0.758
0.173 0.173 0.982
0.175 0.175 0.505
0.500 0.500 0.500
0.825 0.825 0.495
0.827 0.827 0.018
0.500 0.500 0.000
```

Calculated values
DOS at the Fermi energy	5.63	states/eV/f.u.
energy relative to the elements	0.044	eV/atom
electronic total energy	-0.0645	Ha/atom

Computed, not measured: an optimized crystal structure of LaTa2Br at the GGA-PBE level of DFT.

```
LaTa2Br
1.0
1.798 -2.674 0.000
1.798 2.674 0.000
0.000 0.000 9.579
La Ta Br
1 2 1
Direct
0.000 0.000 0.000
0.000 0.000 0.482
0.500 0.500 0.279
0.500 0.500 0.723
```

Calculated values
DOS at the Fermi energy	4.84	states/eV/f.u.
energy relative to the lowest polymorph listed for this composition	80	kJ/mol of formula units
electronic total energy	-0.2735	Ha/atom
formation energy without anion corrections	52	kJ/mol of formula units

Computed, not measured: an optimized crystal structure of Ir2OsRu at the GGA-PBE level of DFT.

```
Ir2OsRu
1.0
3.847 0.000 0.000
0.000 3.847 0.000
0.000 0.000 3.869
Ir Os Ru
2 1 1
Direct
0.000 0.500 0.000
0.500 0.000 0.000
0.000 0.000 0.500
0.500 0.500 0.500
```

Calculated values
DOS at the Fermi energy	6.29	states/eV/f.u.
energy relative to the elements	0.035	eV/atom
energy relative to the lowest polymorph listed for this composition	12	kJ/mol of formula units
electronic total energy	-0.3499	Ha/atom

Computed, not measured: an optimized crystal structure of LaAs2Se at the GGA-PBE level of DFT.

```
LaAs2Se
1.0
4.170 0.000 0.000
0.000 4.253 0.000
-2.047 0.000 5.652
La As Se
1 2 1
Direct
0.000 0.000 0.000
0.311 0.000 0.569
0.977 0.500 0.591
0.557 0.500 0.134
```

Calculated values
DOS at the Fermi energy	1.19	states/eV/f.u.
energy relative to the lowest polymorph listed for this composition	0	kJ/mol of formula units
electronic total energy	-0.1989	Ha/atom
formation energy without anion corrections	-380	kJ/mol of formula units

Computed, not measured: an optimized crystal structure of Na2Zr3Te6 at the GGA-PBE level of DFT.

```
Na2Zr3Te6
1.0
3.502 -6.065 0.000
3.502 6.065 0.000
-2.341 0.000 7.950
Na Zr Te
2 3 6
Direct
0.166 0.834 0.000
0.834 0.166 0.000
0.000 0.000 0.500
0.332 0.668 0.500
0.668 0.332 0.500
0.078 0.409 0.725
0.262 0.262 0.276
0.409 0.078 0.725
0.591 0.922 0.275
0.738 0.738 0.724
0.922 0.591 0.275
```

Calculated values
DOS at the Fermi energy	5.75	states/eV/f.u.
electronic total energy	-0.1915	Ha/atom
formation energy without anion corrections	-982	kJ/mol of formula units

Computed, not measured: an optimized crystal structure of Zn3CdPb at the GGA-PBE level of DFT.

```
Zn3CdPb
1.0
5.042 0.000 0.000
0.000 5.042 0.000
0.000 0.000 5.042
Zn Cd Pb
3 1 1
Direct
0.000 0.000 0.500
0.000 0.500 0.000
0.500 0.000 0.000
0.000 0.000 0.000
0.500 0.500 0.500
```

Calculated values
DOS at the Fermi energy	2.64	states/eV/f.u.
energy relative to the elements	0.461	eV/atom
energy relative to the lowest polymorph listed for this composition	0	kJ/mol of formula units
electronic total energy	-0.0451	Ha/atom

Computed, not measured: an optimized crystal structure of Hf5Sn2Pd12 at the GGA-PBE level of DFT.

```
Hf5Sn2Pd12
1.0
6.808 -3.699 0.000
6.808 3.699 0.000
-1.060 0.000 6.723
Hf Sn Pd
5 2 12
Direct
0.000 0.000 0.000
0.250 0.250 0.045
0.336 0.336 0.563
0.664 0.664 0.437
0.750 0.750 0.955
0.204 0.796 0.500
0.796 0.204 0.500
0.012 0.600 0.291
0.142 0.142 0.351
0.195 0.594 0.911
0.400 0.988 0.709
0.406 0.805 0.089
0.453 0.453 0.259
0.547 0.547 0.741
0.594 0.195 0.911
0.600 0.012 0.291
0.805 0.406 0.089
0.858 0.858 0.649
0.988 0.400 0.709
```

Calculated values
DOS at the Fermi energy	7.22	states/eV/f.u.
energy relative to the elements	-0.638	eV/atom
electronic total energy	-0.2557	Ha/atom

Computed, not measured: an optimized crystal structure of LaPrNd2Hg4 at the GGA-PBE level of DFT.

```
LaPrNd2Hg4
1.0
2.731 1.577 8.931
-2.731 1.577 8.931
0.000 -3.154 8.931
La Pr Nd Hg
1 1 2 4
Direct
0.000 0.000 0.000
0.500 0.500 0.500
0.250 0.250 0.250
0.750 0.750 0.750
0.125 0.125 0.125
0.375 0.375 0.375
0.625 0.625 0.625
0.875 0.875 0.875
```

Calculated values
DOS at the Fermi energy	8.91	states/eV/f.u.
energy relative to the elements	-0.479	eV/atom
electronic total energy	-0.1115	Ha/atom

Number 4 is which compound? LaAs2Se

Among the records above, which one has the highest DOS at the Fermi energy? LaPrNd2Hg4

Among the records above, which one has the lowest DOS at the Fermi energy? LaAs2Se

Which of these has the lowest electronic total energy? Ir2OsRu